Entry 1:
Compound: Nd2SmSc3
Source: the Alexandria database
Functional: GGA-PBE
Structure: relaxed

## Properties
The value obtained for the energy above the most stable polymorph in this dataset is 34 meV per atom. Its total energy is -65.485 eV per cell. The calculation puts the formation energy at 85 meV per atom. The space-group type is C2/m, No. 12.

The structure in POSCAR format:
```
Nd2SmSc3
1.0
8.039 -2.684 0.000
8.039 2.684 0.000
-5.373 0.000 8.364
Nd Sm Sc
4 2 6
Cartesian
-1.359 0.000 2.881
1.321 0.000 5.477
9.384 0.000 2.887
12.065 0.000 5.483
4.018 0.000 2.883
6.688 0.000 5.481
1.342 0.000 0.798
-1.348 0.000 7.578
6.700 0.000 0.800
4.006 0.000 7.564
12.054 0.000 0.786
9.364 0.000 7.566
```

***

Entry 2:
Compound: Nd6Sm2Sc
Source: the Alexandria database
Functional: GGA-PBE
Structure: relaxed

## Properties
The value obtained for the energy above the most stable polymorph in this dataset is 128 meV per atom. Its total energy is -42.347 eV per cell. The calculation puts the formation energy at 226 meV per atom. The space-group type is Cmmm, No. 65.

The structure in POSCAR format:
```
Nd6Sm2Sc
1.0
3.861 -7.541 0.000
3.861 7.541 0.000
0.000 0.000 5.387
Nd Sm Sc
6 2 1
Cartesian
1.688 2.171 0.000
1.859 0.000 2.694
1.688 -2.171 0.000
6.034 2.171 0.000
5.863 0.000 2.694
6.034 -2.171 0.000
3.861 3.426 2.694
3.861 -3.426 2.694
3.861 0.000 0.000
```

***

Entry 3:
Compound: Nd5Sm12Sc2
Source: the Alexandria database
Functional: GGA-PBE
Structure: relaxed

## Properties
The value obtained for the energy above the most stable polymorph in this dataset is 0 meV per atom. Its total energy is -90.272 eV per cell. The calculation puts the formation energy at 151 meV per atom. The space-group type is C2/m, No. 12.

The structure in POSCAR format:
```
Nd5Sm12Sc2
1.0
11.215 -3.535 0.000
11.215 3.535 0.000
-3.252 0.000 8.129
Nd Sm Sc
5 12 2
Cartesian
0.000 0.000 0.000
2.347 0.000 8.011
6.591 0.000 3.313
12.586 0.000 4.815
16.830 0.000 0.118
4.347 1.747 5.746
1.246 0.000 4.342
8.486 1.722 1.005
10.691 1.722 7.124
7.503 0.000 6.529
14.830 1.747 2.382
4.347 -1.747 5.746
11.674 0.000 1.600
8.486 -1.722 1.005
10.691 -1.722 7.124
17.931 0.000 3.786
14.830 -1.747 2.382
9.588 1.659 4.064
9.588 -1.659 4.064
```

***

Entry 4:
Compound: Nd2Sm2Sc3
Source: the Alexandria database
Functional: GGA-PBE
Structure: relaxed

## Properties
Its total energy is -73.104 eV per cell. The calculation puts the formation energy at 202 meV per atom. The space-group type is P2_1/c, No. 14.

The structure in POSCAR format:
```
Nd2Sm2Sc3
1.0
6.142 0.000 0.000
0.000 11.114 0.000
-0.473 0.000 6.252
Nd Sm Sc
4 4 6
Cartesian
0.090 1.708 2.871
-0.146 3.849 5.996
5.815 7.265 0.255
5.579 9.407 3.381
2.160 8.025 4.533
2.396 8.647 1.407
3.273 2.468 4.844
3.509 3.089 1.719
1.051 0.323 5.954
1.287 5.234 2.828
2.834 0.000 3.126
3.071 5.557 0.000
4.382 5.881 3.423
4.618 10.791 0.297
```

***

- Which formula does entry 4 have?
  Nd2Sm2Sc3

***

- Which formula does entry 1 have?
  Nd2SmSc3